(1)
A plane-wave DFT calculation with GGA-PBE was carried out for a relaxed structure of LiPrSmSb.

## Properties
space group: No. 216
E_form (uncorrected): -503 meV per atom

POSCAR file:
```
LiPrSmSb
1.0
5.355 0.000 0.000
2.677 4.637 0.000
2.677 1.546 4.372
Sb Pr Sm Li
1 1 1 1
Cartesian
5.355 3.092 2.186
8.032 4.637 3.279
2.677 1.546 1.093
0.000 0.000 0.000
```

***

(2)
A plane-wave DFT calculation with GGA-PBE was carried out for a relaxed structure of Al2FeRh.

## Properties
space group: No. 12
calculated formation energy: -0.417 eV/atom

POSCAR file:
```
Al2FeRh
1.0
-3.852 0.296 2.023
-1.834 0.029 3.957
-0.186 4.762 0.850
Fe Al Rh
1 2 1
Cartesian
-4.404 3.815 5.123
-5.862 5.082 6.819
-2.945 2.548 3.426
-1.468 1.272 1.708
```